# 1
Compound: RhWSe2
Source: Alexandria
Functional: PBE
Structure: optimized geometry

Properties
magnetization = 0.00 μB per cell
energy above the lowest structure with this stoichiometry = 19.0 kJ/mol of atoms
uncorrected formation energy = -0.08 eV per formula unit
electronic total energy = -27.4 eV/f.u.

Unit cell a=3.7213 b=3.2274 c=7.4333 alpha=64.92 beta=90.00 gamma=90.00
Last column: nearest neighbours and their distance in Å.
Atoms (fractional coordinates):
Se 0.5000 0.1337 0.3600  1 Rh 2.45, 4 W 2.72
Se 0.0000 0.1198 0.8864  1 W 2.40
Rh 0.5000 0.7790 0.7235  5 Se 2.45-2.70
W 0.0000 0.4676 0.5301  1 Se 2.40

***

# 2
Compound: Rh2WSe
Source: Alexandria
Functional: PBE
Structure: optimized geometry

Properties
magnetization = 0.00 μB per cell
uncorrected formation energy = 1.07 eV per formula unit
electronic total energy = -30.1 eV/f.u.

Unit cell a=4.8528 b=4.8528 c=4.8528 alpha=132.56 beta=132.56 gamma=69.34
Last column: nearest neighbours and their distance in Å.
Atoms (fractional coordinates):
Rh 0.0000 0.0000 0.0000  4 Rh 2.76, 4 Se 2.79, 4 W 2.79
Rh 0.5000 0.5000 0.0000  4 Rh 2.76, 4 W 2.79, 4 Se 2.79
Se 0.2500 0.7500 0.5000  4 W 2.76, 8 Rh 2.79
W 0.7500 0.2500 0.5000  4 Se 2.76, 8 Rh 2.79

***

# 3
Compound: Rh2WSe
Source: Alexandria
Functional: PBE
Structure: optimized geometry

Properties
magnetization = 0.00 μB per cell
uncorrected formation energy = 0.55 eV per formula unit
electronic total energy = -30.6 eV/f.u.

Unit cell a=5.1576 b=5.1576 c=5.1576 alpha=144.97 beta=129.65 gamma=62.81
Last column: nearest neighbours and their distance in Å.
Atoms (fractional coordinates):
Rh 0.5191 0.5191 0.0000  2 Se 2.56, 4 Rh 2.71, 2 W 2.83
Rh 0.9809 0.9809 0.0000  2 Se 2.56, 4 Rh 2.71, 2 W 2.83
Se 0.7500 0.2500 0.5000  4 Rh 2.56, 4 W 2.69
W 0.2500 0.7500 0.5000  4 Se 2.69, 8 Rh 2.83-2.99